A relaxed ZrZnRu2 crystal, computed with GGA-PBE.

The spin magnetization comes out at 0.00 μB per cell. The value obtained for the total DFT energy (no corrections) is -7.18 eV/atom.

The space group is P2/m (No. 10) and the conventional cell measures 2.837, 4.330 and 5.205 Å, with angles of 90.00, 94.73 and 90.00 degrees. Symmetry generates all atoms from Zr at (0.000, 0.000, 0.000), Zn at (0.500, 0.000, 0.500) and Ru at (0.266, 0.500, 0.726).



A relaxed KNiPt2 crystal, computed with GGA-PBE.

The spin magnetization comes out at 0.94 μB per cell. The value obtained for the total DFT energy (no corrections) is -4.52 eV/atom. As for the energy relative to the lowest polymorph listed for this composition: 125 meV per atom.

The space group is Pmm2 (No. 25) and the conventional cell measures 2.757, 3.819 and 7.455 Å, with angles of 90.00, 90.00 and 90.00 degrees. Symmetry generates all atoms from K at (0.000, 0.000, 0.000), Ni at (0.500, 0.500, 0.337), Pt at (0.000, 0.000, 0.470) and Pt at (0.500, 0.500, 0.681).



A relaxed GdYMgTc crystal, computed with GGA-PBE.

The spin magnetization comes out at 28.63 μB per cell. The value obtained for the total DFT energy (no corrections) is -8.12 eV/atom.

The space group is F-43m (No. 216) and the conventional cell measures 7.155, 7.155 and 7.155 Å, with angles of 90.00, 90.00 and 90.00 degrees. Symmetry generates all atoms from Gd at (0.000, 0.000, 0.000), Y at (0.000, 0.000, 0.500), Mg at (0.250, 0.250, 0.750) and Tc at (0.250, 0.250, 0.250).



A relaxed MgH3Ir3 crystal, computed with GGA-PBE.

The spin magnetization comes out at 0.00 μB per cell. The value obtained for the total DFT energy (no corrections) is -5.47 eV/atom. As for the energy relative to the lowest polymorph listed for this composition: 20 meV per atom.

The space group is Pm (No. 6) and the conventional cell measures 5.006, 2.915 and 5.056 Å, with angles of 90.00, 108.75 and 90.00 degrees. Symmetry generates all atoms from Mg at (0.000, 0.000, 0.000), H at (0.358, 0.500, 0.280), H at (0.792, 0.000, 0.448), H at (0.842, 0.500, 0.174), Ir at (0.014, 0.500, 0.544), Ir at (0.477, 0.000, 0.539) and Ir at (0.479, 0.500, 0.991).



A relaxed NpScFeOs crystal, computed with GGA-PBE.

The spin magnetization comes out at 6.65 μB per cell. The value obtained for the total DFT energy (no corrections) is -9.82 eV/atom.

The space group is F-43m (No. 216) and the conventional cell measures 6.547, 6.547 and 6.547 Å, with angles of 90.00, 90.00 and 90.00 degrees. Symmetry generates all atoms from Np at (0.000, 0.000, 0.000), Sc at (0.000, 0.000, 0.500), Fe at (0.250, 0.250, 0.750) and Os at (0.250, 0.250, 0.250).



A relaxed CrIn4As crystal, computed with GGA-PBE.

The spin magnetization comes out at 17.82 μB per cell. The value obtained for the total DFT energy (no corrections) is -3.65 eV/atom.

The space group is F-43m (No. 216) and the conventional cell measures 8.508, 8.508 and 8.508 Å, with angles of 90.00, 90.00 and 90.00 degrees. Symmetry generates all atoms from Cr at (0.000, 0.000, 0.000), In at (0.125, 0.125, 0.625) and As at (0.250, 0.250, 0.250).



A relaxed ReSiBr2 crystal, computed with GGA-PBE.

The spin magnetization comes out at 0.00 μB per cell. The value obtained for the total DFT energy (no corrections) is -4.38 eV/atom. As for the uncorrected formation energy: 0.924 eV/atom. As for the energy relative to the lowest polymorph listed for this composition: 787 meV per atom.

The space group is R-3m (No. 166, hexagonal axes) and the conventional cell measures 3.1284, 3.1284 and 28.8581 Å, with angles of 90.00, 90.00 and 120.00 degrees. Symmetry generates all atoms from Re at (0.0000, 0.0000, 0.0000), Si at (0.0000, 0.0000, 0.5000) and Br at (0.0000, 0.0000, 0.2665).



A relaxed CsTl6 crystal, computed with GGA-PBE.

The spin magnetization comes out at 0.00 μB per cell. The value obtained for the total DFT energy (no corrections) is -1.94 eV/atom. As for the energy relative to the lowest polymorph listed for this composition: 258 meV per atom.

The space group is Pm-3m (No. 221) and the conventional cell measures 7.422, 7.422 and 7.422 Å, with angles of 90.00, 90.00 and 90.00 degrees. Symmetry generates all atoms from Cs at (0.000, 0.000, 0.000) and Tl at (0.197, 0.500, 0.500).